(1)
# PBE TlH3Pd3, optimized geometry
data_TlH3Pd3
_chemical_formula_sum 'Tl2 H6 Pd6'
_cell_length_a 7.808
_cell_length_b 7.808
_cell_length_c 7.808
_cell_angle_alpha 39.52
_cell_angle_beta 39.52
_cell_angle_gamma 39.52
_symmetry_space_group_name_H-M 'P 1'
_symmetry_Int_Tables_number 1
loop_
_symmetry_equiv_pos_as_xyz
'x,y,z'
loop_
_atom_site_label
_atom_site_type_symbol
_atom_site_fract_x
_atom_site_fract_y
_atom_site_fract_z
_atom_site_occupancy
Tl1 Tl 0.166 0.166 0.166 1
Tl2 Tl 0.834 0.834 0.834 1
H1 H 0.045 0.368 0.697 1
H2 H 0.303 0.955 0.632 1
H3 H 0.368 0.697 0.045 1
H4 H 0.632 0.303 0.955 1
H5 H 0.697 0.045 0.368 1
H6 H 0.955 0.632 0.303 1
Pd1 Pd 0.054 0.729 0.394 1
Pd2 Pd 0.271 0.606 0.946 1
Pd3 Pd 0.394 0.054 0.729 1
Pd4 Pd 0.606 0.946 0.271 1
Pd5 Pd 0.729 0.394 0.054 1
Pd6 Pd 0.946 0.271 0.606 1
# E: -4.0573 eV/atom
# crystal system: trigonal



(2)
# PBE TlHPd3, optimized geometry
data_TlHPd3
_chemical_formula_sum 'Tl4 H4 Pd12'
_cell_length_a 8.036
_cell_length_b 4.907
_cell_length_c 8.978
_cell_angle_alpha 90.00
_cell_angle_beta 119.30
_cell_angle_gamma 90.00
_symmetry_space_group_name_H-M 'P 1'
_symmetry_Int_Tables_number 1
loop_
_symmetry_equiv_pos_as_xyz
'x,y,z'
loop_
_atom_site_label
_atom_site_type_symbol
_atom_site_fract_x
_atom_site_fract_y
_atom_site_fract_z
_atom_site_occupancy
Tl1 Tl 0.145 0.241 0.061 1
Tl2 Tl 0.145 0.259 0.561 1
Tl3 Tl 0.855 0.741 0.439 1
Tl4 Tl 0.855 0.759 0.939 1
H1 H 0.447 0.734 0.992 1
H2 H 0.447 0.766 0.492 1
H3 H 0.553 0.234 0.508 1
H4 H 0.553 0.266 0.008 1
Pd1 Pd 0.102 0.581 0.798 1
Pd2 Pd 0.102 0.919 0.298 1
Pd3 Pd 0.317 0.048 0.883 1
Pd4 Pd 0.317 0.452 0.383 1
Pd5 Pd 0.489 0.533 0.834 1
Pd6 Pd 0.489 0.967 0.334 1
Pd7 Pd 0.511 0.033 0.666 1
Pd8 Pd 0.511 0.467 0.166 1
Pd9 Pd 0.683 0.548 0.617 1
Pd10 Pd 0.683 0.952 0.117 1
Pd11 Pd 0.898 0.081 0.702 1
Pd12 Pd 0.898 0.419 0.202 1
# E: -4.3244 eV/atom
# crystal system: monoclinic



(3)
# PBE Tl3H12Pd5, optimized geometry
data_Tl3H12Pd5
_chemical_formula_sum 'Tl12 H48 Pd20'
_cell_length_a 10.565
_cell_length_b 10.565
_cell_length_c 10.565
_cell_angle_alpha 109.47
_cell_angle_beta 109.47
_cell_angle_gamma 109.47
_symmetry_space_group_name_H-M 'P 1'
_symmetry_Int_Tables_number 1
loop_
_symmetry_equiv_pos_as_xyz
'x,y,z'
loop_
_atom_site_label
_atom_site_type_symbol
_atom_site_fract_x
_atom_site_fract_y
_atom_site_fract_z
_atom_site_occupancy
Tl1 Tl 0.125 0.250 0.375 1
Tl2 Tl 0.125 0.375 0.750 1
Tl3 Tl 0.250 0.375 0.125 1
Tl4 Tl 0.250 0.875 0.625 1
Tl5 Tl 0.375 0.125 0.250 1
Tl6 Tl 0.375 0.750 0.125 1
Tl7 Tl 0.625 0.250 0.875 1
Tl8 Tl 0.625 0.875 0.750 1
Tl9 Tl 0.750 0.125 0.375 1
Tl10 Tl 0.750 0.625 0.875 1
Tl11 Tl 0.875 0.625 0.250 1
Tl12 Tl 0.875 0.750 0.625 1
H1 H 0.018 0.683 0.094 1
H2 H 0.018 0.836 0.925 1
H3 H 0.075 0.594 0.911 1
H4 H 0.075 0.982 0.164 1
H5 H 0.089 0.664 0.683 1
H6 H 0.089 0.925 0.406 1
H7 H 0.094 0.018 0.683 1
H8 H 0.094 0.575 0.411 1
H9 H 0.164 0.075 0.982 1
H10 H 0.164 0.589 0.183 1
H11 H 0.183 0.164 0.589 1
H12 H 0.183 0.518 0.594 1
H13 H 0.317 0.906 0.982 1
H14 H 0.317 0.911 0.336 1
H15 H 0.336 0.317 0.911 1
H16 H 0.336 0.518 0.425 1
H17 H 0.406 0.089 0.925 1
H18 H 0.406 0.817 0.482 1
H19 H 0.411 0.094 0.575 1
H20 H 0.411 0.817 0.836 1
H21 H 0.425 0.336 0.518 1
H22 H 0.425 0.589 0.906 1
H23 H 0.482 0.406 0.817 1
H24 H 0.482 0.575 0.664 1
H25 H 0.518 0.425 0.336 1
H26 H 0.518 0.594 0.183 1
H27 H 0.575 0.411 0.094 1
H28 H 0.575 0.664 0.482 1
H29 H 0.589 0.183 0.164 1
H30 H 0.589 0.906 0.425 1
H31 H 0.594 0.183 0.518 1
H32 H 0.594 0.911 0.075 1
H33 H 0.664 0.482 0.575 1
H34 H 0.664 0.683 0.089 1
H35 H 0.683 0.089 0.664 1
H36 H 0.683 0.094 0.018 1
H37 H 0.817 0.482 0.406 1
H38 H 0.817 0.836 0.411 1
H39 H 0.836 0.411 0.817 1
H40 H 0.836 0.925 0.018 1
H41 H 0.906 0.425 0.589 1
H42 H 0.906 0.982 0.317 1
H43 H 0.911 0.075 0.594 1
H44 H 0.911 0.336 0.317 1
H45 H 0.925 0.018 0.836 1
H46 H 0.925 0.406 0.089 1
H47 H 0.982 0.164 0.075 1
H48 H 0.982 0.317 0.906 1
Pd1 Pd 0.000 0.000 0.000 1
Pd2 Pd 0.000 0.000 0.500 1
Pd3 Pd 0.000 0.500 0.000 1
Pd4 Pd 0.000 0.500 0.500 1
Pd5 Pd 0.125 0.750 0.875 1
Pd6 Pd 0.125 0.875 0.250 1
Pd7 Pd 0.250 0.125 0.875 1
Pd8 Pd 0.250 0.625 0.375 1
Pd9 Pd 0.375 0.250 0.625 1
Pd10 Pd 0.375 0.625 0.750 1
Pd11 Pd 0.500 0.000 0.000 1
Pd12 Pd 0.500 0.000 0.500 1
Pd13 Pd 0.500 0.500 0.000 1
Pd14 Pd 0.500 0.500 0.500 1
Pd15 Pd 0.625 0.375 0.250 1
Pd16 Pd 0.625 0.750 0.375 1
Pd17 Pd 0.750 0.375 0.625 1
Pd18 Pd 0.750 0.875 0.125 1
Pd19 Pd 0.875 0.125 0.750 1
Pd20 Pd 0.875 0.250 0.125 1
# E: -3.5363 eV/atom
# crystal system: cubic



(4)
# PBE Tl6HPd12, optimized geometry
data_Tl6HPd12
_chemical_formula_sum 'Tl6 H1 Pd12'
_cell_length_a 7.234
_cell_length_b 7.234
_cell_length_c 7.234
_cell_angle_alpha 101.71
_cell_angle_beta 101.71
_cell_angle_gamma 101.71
_symmetry_space_group_name_H-M 'P 1'
_symmetry_Int_Tables_number 1
loop_
_symmetry_equiv_pos_as_xyz
'x,y,z'
loop_
_atom_site_label
_atom_site_type_symbol
_atom_site_fract_x
_atom_site_fract_y
_atom_site_fract_z
_atom_site_occupancy
Tl1 Tl 0.104 0.677 0.325 1
Tl2 Tl 0.323 0.675 0.896 1
Tl3 Tl 0.325 0.104 0.677 1
Tl4 Tl 0.675 0.896 0.323 1
Tl5 Tl 0.677 0.325 0.104 1
Tl6 Tl 0.896 0.323 0.675 1
H1 H 0.000 0.000 0.000 1
Pd1 Pd 0.035 0.296 0.055 1
Pd2 Pd 0.055 0.035 0.296 1
Pd3 Pd 0.219 0.412 0.512 1
Pd4 Pd 0.296 0.055 0.035 1
Pd5 Pd 0.412 0.512 0.219 1
Pd6 Pd 0.488 0.781 0.588 1
Pd7 Pd 0.512 0.219 0.412 1
Pd8 Pd 0.588 0.488 0.781 1
Pd9 Pd 0.704 0.945 0.965 1
Pd10 Pd 0.781 0.588 0.488 1
Pd11 Pd 0.945 0.965 0.704 1
Pd12 Pd 0.965 0.704 0.945 1
# E: -4.2730 eV/atom
# crystal system: trigonal



(5)
# PBE TlHPd3, optimized geometry
data_TlHPd3
_chemical_formula_sum 'Tl4 H4 Pd12'
_cell_length_a 5.054
_cell_length_b 7.846
_cell_length_c 7.924
_cell_angle_alpha 90.00
_cell_angle_beta 90.00
_cell_angle_gamma 90.00
_symmetry_space_group_name_H-M 'P 1'
_symmetry_Int_Tables_number 1
loop_
_symmetry_equiv_pos_as_xyz
'x,y,z'
loop_
_atom_site_label
_atom_site_type_symbol
_atom_site_fract_x
_atom_site_fract_y
_atom_site_fract_z
_atom_site_occupancy
Tl1 Tl 0.000 0.000 0.000 1
Tl2 Tl 0.000 0.500 0.000 1
Tl3 Tl 0.500 0.000 0.500 1
Tl4 Tl 0.500 0.500 0.500 1
H1 H 0.006 0.250 0.489 1
H2 H 0.494 0.750 0.989 1
H3 H 0.506 0.250 0.011 1
H4 H 0.994 0.750 0.511 1
Pd1 Pd 0.024 0.073 0.341 1
Pd2 Pd 0.024 0.427 0.341 1
Pd3 Pd 0.204 0.250 0.674 1
Pd4 Pd 0.296 0.750 0.174 1
Pd5 Pd 0.476 0.573 0.841 1
Pd6 Pd 0.476 0.927 0.841 1
Pd7 Pd 0.524 0.073 0.159 1
Pd8 Pd 0.524 0.427 0.159 1
Pd9 Pd 0.704 0.250 0.826 1
Pd10 Pd 0.796 0.750 0.326 1
Pd11 Pd 0.976 0.573 0.659 1
Pd12 Pd 0.976 0.927 0.659 1
# E: -4.3183 eV/atom
# crystal system: orthorhombic



(6)
# PBE Tl2HPd6, optimized geometry
data_Tl2HPd6
_chemical_formula_sum 'Tl2 H1 Pd6'
_cell_length_a 5.801
_cell_length_b 5.801
_cell_length_c 5.801
_cell_angle_alpha 60.00
_cell_angle_beta 60.00
_cell_angle_gamma 60.00
_symmetry_space_group_name_H-M 'P 1'
_symmetry_Int_Tables_number 1
loop_
_symmetry_equiv_pos_as_xyz
'x,y,z'
loop_
_atom_site_label
_atom_site_type_symbol
_atom_site_fract_x
_atom_site_fract_y
_atom_site_fract_z
_atom_site_occupancy
Tl1 Tl 0.250 0.250 0.250 1
Tl2 Tl 0.750 0.750 0.750 1
H1 H 0.000 0.000 0.000 1
Pd1 Pd 0.251 0.251 0.749 1
Pd2 Pd 0.251 0.749 0.251 1
Pd3 Pd 0.251 0.749 0.749 1
Pd4 Pd 0.749 0.251 0.251 1
Pd5 Pd 0.749 0.251 0.749 1
Pd6 Pd 0.749 0.749 0.251 1
# E: -4.5895 eV/atom
# crystal system: cubic



(7)
# PBE TlHPd3, optimized geometry
data_TlHPd3
_chemical_formula_sum 'Tl1 H1 Pd3'
_cell_length_a 2.865
_cell_length_b 7.199
_cell_length_c 7.199
_cell_angle_alpha 44.01
_cell_angle_beta 90.00
_cell_angle_gamma 90.00
_symmetry_space_group_name_H-M 'P 1'
_symmetry_Int_Tables_number 1
loop_
_symmetry_equiv_pos_as_xyz
'x,y,z'
loop_
_atom_site_label
_atom_site_type_symbol
_atom_site_fract_x
_atom_site_fract_y
_atom_site_fract_z
_atom_site_occupancy
Tl1 Tl 0.000 0.000 0.000 1
H1 H 0.500 0.671 0.671 1
Pd1 Pd 0.000 0.426 0.933 1
Pd2 Pd 0.000 0.933 0.426 1
Pd3 Pd 0.500 0.826 0.826 1
# E: -4.0603 eV/atom
# crystal system: orthorhombic



(8)
# PBE Y2TlHPd, optimized geometry
data_Y2TlHPd
_chemical_formula_sum 'Y2 Tl1 H1 Pd1'
_cell_length_a 5.122
_cell_length_b 5.122
_cell_length_c 3.810
_cell_angle_alpha 90.00
_cell_angle_beta 90.00
_cell_angle_gamma 90.00
_symmetry_space_group_name_H-M 'P 1'
_symmetry_Int_Tables_number 1
loop_
_symmetry_equiv_pos_as_xyz
'x,y,z'
loop_
_atom_site_label
_atom_site_type_symbol
_atom_site_fract_x
_atom_site_fract_y
_atom_site_fract_z
_atom_site_occupancy
Y1 Y 0.000 0.500 0.000 1
Y2 Y 0.500 0.000 0.000 1
Tl1 Tl 0.000 0.000 0.500 1
H1 H 0.500 0.500 0.000 1
Pd1 Pd 0.500 0.500 0.500 1
# E: -5.3027 eV/atom
# crystal system: tetragonal



- The highest E belongs to which entry?
  Tl3H12Pd5



- Which of these has the lowest E?
  Y2TlHPd



- Which of these has the highest E?
  Tl3H12Pd5



- Which formula does entry 5 have?
  TlHPd3